Record 1
Density functional theory data (PBE-GGA) for an optimized crystal structure of Rb3Na4Tl.

Structure (CIF):
```
data_Rb3Na4Tl
_chemical_formula_sum 'Rb6 Na8 Tl2'
_symmetry_space_group_name_H-M 'P m n 21'
_symmetry_Int_Tables_number 31
_symmetry_space_group_name_Hall 'P 2ac -2'
_cell_length_a 12.3115
_cell_length_b 8.5560
_cell_length_c 7.6619
_cell_angle_alpha 90.00
_cell_angle_beta 90.00
_cell_angle_gamma 90.00
loop_
_atom_site_label
_atom_site_fract_x
_atom_site_fract_y
_atom_site_fract_z
Rb1 0.0000 0.0155 0.0000
Rb2 0.1926 0.1816 0.4990
Na1 0.0000 0.5358 0.7690
Na2 0.0000 0.5374 0.2306
Na3 0.2363 0.6517 0.4986
Tl1 0.0000 0.8302 0.5010
```

Summary:
* D(E_F): 0.41 states/eV/atom
* E_form: -2 meV per atom
* electronic total energy: -1.320 eV/atom
* calculated volume: 807.1 Å³ per cell
* offset from the most stable computed form: 0.0 meV/atom

=====

Record 2
Density functional theory data (PBE-GGA) for an optimized crystal structure of Rb3Na8Tl3.

Structure (CIF):
```
data_Rb3Na8Tl3
_chemical_formula_sum 'Rb6 Na16 Tl6'
_symmetry_space_group_name_H-M 'I m m m'
_symmetry_Int_Tables_number 71
_symmetry_space_group_name_Hall '-I 2 2'
_cell_length_a 5.7148
_cell_length_b 12.6459
_cell_length_c 16.5543
_cell_angle_alpha 90.00
_cell_angle_beta 90.00
_cell_angle_gamma 90.00
loop_
_atom_site_label
_atom_site_fract_x
_atom_site_fract_y
_atom_site_fract_z
Rb1 0.0000 0.0000 0.0000
Rb2 0.0000 0.0000 0.3368
Na1 0.0000 0.2863 0.1068
Na2 0.0000 0.3490 0.3207
Tl1 0.0000 0.2318 0.5000
Tl2 0.0000 0.5000 0.0000
```

Summary:
* D(E_F): 0.65 states/eV/atom
* E_form: -6 meV per atom
* electronic total energy: -1.474 eV/atom
* calculated volume: 1196.3 Å³ per cell